(1)
Er6SbAs2Se3, relaxed, DFT PBE-GGA; formation energy (no corrections) = -1821 kJ/mol of formula units; E = -70.1 eV per cell
1.0
8.9627 -2.0543 0.0000
8.9627 2.0543 0.0000
-1.8570 0.0000 8.0199
Er Sb As Se
6 1 2 3
Direct
0.0048 0.0048 0.2624
0.3293 0.3293 0.4231
0.3285 0.3285 0.9017
0.6715 0.6715 0.0983
0.6707 0.6707 0.5769
0.9952 0.9952 0.7376
0.5000 0.5000 0.0000
0.1673 0.1673 0.3350
0.8327 0.8327 0.6650
0.1643 0.1643 0.8331
0.5000 0.5000 0.5000
0.8357 0.8357 0.1669



(2)
ScFe2Ni, relaxed, DFT PBE-GGA; calculated formation energy = 0.21 eV/atom; E = -112.8 eV per cell
1.0
3.5533 0.0000 0.0000
0.0000 3.5533 0.0000
0.0000 0.0000 18.3549
Sc Fe Ni
4 8 4
Direct
0.0000 0.0000 0.0000
0.0000 0.5000 0.2500
0.5000 0.0000 0.7500
0.5000 0.5000 0.5000
0.2296 0.2500 0.6250
0.2500 0.7296 0.8750
0.2500 0.7704 0.3750
0.2704 0.2500 0.1250
0.7296 0.7500 0.1250
0.7500 0.2296 0.3750
0.7500 0.2704 0.8750
0.7704 0.7500 0.6250
0.0000 0.0000 0.5000
0.0000 0.5000 0.7500
0.5000 0.0000 0.2500
0.5000 0.5000 0.0000



(3)
Y2AgOs, relaxed, DFT PBE-GGA; calculated formation energy = 0.05 eV/atom; E = -53.6 eV per cell
1.0
4.2476 0.0000 0.0000
0.0000 4.2476 0.0000
0.0000 0.0000 9.5531
Y Ag Os
4 2 2
Direct
0.0000 0.0000 0.0000
0.0000 0.5000 0.2500
0.5000 0.0000 0.7500
0.5000 0.5000 0.5000
0.0000 0.5000 0.7500
0.5000 0.0000 0.2500
0.0000 0.0000 0.5000
0.5000 0.5000 0.0000